Record 1
Here is a relaxed Fe2ReMoH crystal from the Alexandria database. Energies are from GGA-PBE.

Computed properties:
- distance to the lowest polymorph of the same formula (eV per atom) = 0.000
- final energy (eV/atom) = -8.63
- density of states at the Fermi level (states/eV per cell) = 4.77
- total magnetic moment (μB/atom) = 0.00
- space-group type = P4/mmm

a = 3.7347 Å, b = 3.7347 Å, c = 3.8326 Å
α = 90.00°, β = 90.00°, γ = 90.00°
Sites, in units of the cell vectors:
Re1 0.5000 0.5000 0.5000
Fe1 0.5000 0.0000 0.0000
Mo1 0.0000 0.0000 0.5000
H1 0.0000 0.0000 0.0000
Fe2 0.0000 0.5000 0.0000


Record 2
Here is a relaxed FeRe2MoH crystal from the Alexandria database. Energies are from GGA-PBE.

Computed properties:
- final energy (eV/atom) = -9.38
- density of states at the Fermi level (states/eV per cell) = 4.01
- total magnetic moment (μB/atom) = 0.24
- space-group type = P4/mmm

a = 3.9472 Å, b = 3.9472 Å, c = 3.7848 Å
α = 90.00°, β = 90.00°, γ = 90.00°
Site moments in Bohr magnetons follow the coordinates.
Sites, in units of the cell vectors:
Mo1 0.5000 0.5000 0.5000  -0.13
H1 0.0000 0.0000 0.0000  -0.01
Re1 0.5000 0.0000 0.0000  -0.04
Re2 0.0000 0.5000 0.0000  -0.04
Fe1 0.0000 0.0000 0.5000  1.43


Record 3
Here is a relaxed Fe2ReMoH crystal from the Alexandria database. Energies are from GGA-PBE.

Computed properties:
- distance to the lowest polymorph of the same formula (eV per atom) = 0.018
- final energy (eV/atom) = -8.61
- density of states at the Fermi level (states/eV per cell) = 5.49
- total magnetic moment (μB/atom) = 0.01
- space-group type = P4/mmm

a = 3.7468 Å, b = 3.7468 Å, c = 3.8177 Å
α = 90.00°, β = 90.00°, γ = 90.00°
Sites, in units of the cell vectors:
Re1 0.0000 0.0000 0.5000
Fe1 0.5000 0.0000 0.0000
Fe2 0.0000 0.5000 0.0000
Mo1 0.5000 0.5000 0.5000
H1 0.0000 0.0000 0.0000


Record 4
Here is a relaxed Fe2MoHRu crystal from the Alexandria database. Energies are from GGA-PBE.

Computed properties:
- distance to the lowest polymorph of the same formula (eV per atom) = 0.032
- final energy (eV/atom) = -8.00
- density of states at the Fermi level (states/eV per cell) = 4.84
- total magnetic moment (μB/atom) = 0.00
- space-group type = P4/mmm

a = 3.6917 Å, b = 3.6917 Å, c = 3.8500 Å
α = 90.00°, β = 90.00°, γ = 90.00°
Sites, in units of the cell vectors:
Fe1 0.0000 0.5000 0.0000
Ru1 0.5000 0.5000 0.5000
Mo1 0.0000 0.0000 0.5000
Fe2 0.5000 0.0000 0.0000
H1 0.0000 0.0000 0.0000


Record 5
Here is a relaxed Fe2MoHRu crystal from the Alexandria database. Energies are from GGA-PBE.

Computed properties:
- distance to the lowest polymorph of the same formula (eV per atom) = 0.000
- final energy (eV/atom) = -8.03
- density of states at the Fermi level (states/eV per cell) = 4.42
- total magnetic moment (μB/atom) = 0.09
- space-group type = P4/mmm

a = 3.7273 Å, b = 3.7273 Å, c = 3.7679 Å
α = 90.00°, β = 90.00°, γ = 90.00°
Site moments in Bohr magnetons follow the coordinates.
Sites, in units of the cell vectors:
Fe1 0.0000 0.5000 0.0000  0.29
H1 0.0000 0.0000 0.0000  0.00
Fe2 0.5000 0.0000 0.0000  0.29
Mo1 0.5000 0.5000 0.5000  -0.12
Ru1 0.0000 0.0000 0.5000  -0.01


Record 6
Here is a relaxed Fe2SbMoH crystal from the Alexandria database. Energies are from GGA-PBE.

Computed properties:
- final energy (eV/atom) = -6.87
- density of states at the Fermi level (states/eV per cell) = 5.72
- total magnetic moment (μB/atom) = 1.02
- space-group type = P4/mmm

a = 3.9612 Å, b = 3.9612 Å, c = 3.9349 Å
α = 90.00°, β = 90.00°, γ = 90.00°
Site moments in Bohr magnetons follow the coordinates.
Sites, in units of the cell vectors:
H1 0.0000 0.0000 0.0000  -0.01
Fe1 0.5000 0.0000 0.0000  2.23
Mo1 0.0000 0.0000 0.5000  0.63
Fe2 0.0000 0.5000 0.0000  2.23
Sb1 0.5000 0.5000 0.5000  -0.04